# MnVIn3 PBE relaxed
data_MnVIn3
_cell_length_a 4.986
_cell_length_b 4.986
_cell_length_c 4.986
_cell_angle_alpha 90.00
_cell_angle_beta 90.00
_cell_angle_gamma 90.00
_symmetry_space_group_name_H-M 'P m -3 m'
_symmetry_Int_Tables_number 221
_symmetry_space_group_name_Hall '-P 4 2 3'
loop_
_atom_site_label
_atom_site_type_symbol
_atom_site_fract_x
_atom_site_fract_y
_atom_site_fract_z
Mn1 Mn 0.000 0.000 0.000
V1 V 0.500 0.500 0.500
In1 In 0.000 0.000 0.500
# **Energy above the most stable polymorph in this dataset**: 0.000 eV per atom
# **Raw total energy**: -22.8 eV/cell
# **Magnetic moment**: 5.57 μB/cell
# **E_form**: 741.2 meV per atom
# **Volume**: 24.8 Å³ per atom

# MnIn4W PBE relaxed
data_MnIn4W
_cell_length_a 7.998
_cell_length_b 7.998
_cell_length_c 7.998
_cell_angle_alpha 90.00
_cell_angle_beta 90.00
_cell_angle_gamma 90.00
_symmetry_space_group_name_H-M 'F -4 3 m'
_symmetry_Int_Tables_number 216
_symmetry_space_group_name_Hall 'F -4 2 3'
loop_
_atom_site_label
_atom_site_type_symbol
_atom_site_fract_x
_atom_site_fract_y
_atom_site_fract_z
Mn1 Mn 0.000 0.000 0.000
In1 In 0.125 0.125 0.375
W1 W 0.250 0.250 0.750
# **Raw total energy**: -110.1 eV/cell
# **Magnetic moment**: 20.18 μB/cell
# **E_form**: 924.8 meV per atom
# **Volume**: 21.3 Å³ per atom

# Mn3InW PBE relaxed
data_Mn3InW
_cell_length_a 4.472
_cell_length_b 4.472
_cell_length_c 4.472
_cell_angle_alpha 90.00
_cell_angle_beta 90.00
_cell_angle_gamma 90.00
_symmetry_space_group_name_H-M 'P m -3 m'
_symmetry_Int_Tables_number 221
_symmetry_space_group_name_Hall '-P 4 2 3'
loop_
_atom_site_label
_atom_site_type_symbol
_atom_site_fract_x
_atom_site_fract_y
_atom_site_fract_z
Mn1 Mn 0.000 0.000 0.500
In1 In 0.000 0.000 0.000
W1 W 0.500 0.500 0.500
# **Energy above the most stable polymorph in this dataset**: 1.339 eV per atom
# **Raw total energy**: -30.3 eV/cell
# **Magnetic moment**: 0.00 μB/cell
# **E_form**: 2575.0 meV per atom
# **Volume**: 17.9 Å³ per atom

# Mn3InW PBE relaxed
data_Mn3InW
_cell_length_a 4.643
_cell_length_b 4.643
_cell_length_c 4.643
_cell_angle_alpha 90.00
_cell_angle_beta 90.00
_cell_angle_gamma 90.00
_symmetry_space_group_name_H-M 'P m -3 m'
_symmetry_Int_Tables_number 221
_symmetry_space_group_name_Hall '-P 4 2 3'
loop_
_atom_site_label
_atom_site_type_symbol
_atom_site_fract_x
_atom_site_fract_y
_atom_site_fract_z
Mn1 Mn 0.000 0.000 0.500
In1 In 0.500 0.500 0.500
W1 W 0.000 0.000 0.000
# **Energy above the most stable polymorph in this dataset**: 0.000 eV per atom
# **Raw total energy**: -37.0 eV/cell
# **Magnetic moment**: 7.41 μB/cell
# **E_form**: 1235.8 meV per atom
# **Volume**: 20.0 Å³ per atom

# MnInW3 PBE relaxed
data_MnInW3
_cell_length_a 4.522
_cell_length_b 4.522
_cell_length_c 4.522
_cell_angle_alpha 90.00
_cell_angle_beta 90.00
_cell_angle_gamma 90.00
_symmetry_space_group_name_H-M 'P m -3 m'
_symmetry_Int_Tables_number 221
_symmetry_space_group_name_Hall '-P 4 2 3'
loop_
_atom_site_label
_atom_site_type_symbol
_atom_site_fract_x
_atom_site_fract_y
_atom_site_fract_z
Mn1 Mn 0.000 0.000 0.000
In1 In 0.500 0.500 0.500
W1 W 0.000 0.000 0.500
# **Energy above the most stable polymorph in this dataset**: 0.000 eV per atom
# **Raw total energy**: -44.5 eV/cell
# **Magnetic moment**: 0.00 μB/cell
# **E_form**: 1257.2 meV per atom
# **Volume**: 18.5 Å³ per atom

# MnIn3W PBE relaxed
data_MnIn3W
_cell_length_a 5.284
_cell_length_b 5.284
_cell_length_c 5.284
_cell_angle_alpha 90.00
_cell_angle_beta 90.00
_cell_angle_gamma 90.00
_symmetry_space_group_name_H-M 'P m -3 m'
_symmetry_Int_Tables_number 221
_symmetry_space_group_name_Hall '-P 4 2 3'
loop_
_atom_site_label
_atom_site_type_symbol
_atom_site_fract_x
_atom_site_fract_y
_atom_site_fract_z
Mn1 Mn 0.000 0.000 0.000
In1 In 0.000 0.500 0.500
W1 W 0.500 0.500 0.500
# **Energy above the most stable polymorph in this dataset**: 0.000 eV per atom
# **Raw total energy**: -25.0 eV/cell
# **Magnetic moment**: 5.67 μB/cell
# **E_form**: 1073.0 meV per atom
# **Volume**: 29.5 Å³ per atom

# YMn2InW PBE relaxed
data_YMn2InW
_cell_length_a 4.870
_cell_length_b 4.870
_cell_length_c 5.544
_cell_angle_alpha 90.00
_cell_angle_beta 90.00
_cell_angle_gamma 90.00
_symmetry_space_group_name_H-M 'P 4/m m m'
_symmetry_Int_Tables_number 123
_symmetry_space_group_name_Hall '-P 4 2'
loop_
_atom_site_label
_atom_site_type_symbol
_atom_site_fract_x
_atom_site_fract_y
_atom_site_fract_z
Y1 Y 0.000 0.000 0.000
Mn1 Mn 0.000 0.500 0.500
In1 In 0.000 0.000 0.500
W1 W 0.500 0.500 0.000
# **Raw total energy**: -31.9 eV/cell
# **Magnetic moment**: 4.29 μB/cell
# **E_form**: 1719.9 meV per atom
# **Volume**: 26.3 Å³ per atom

# YMnIn2 PBE relaxed
data_YMnIn2
_cell_length_a 4.450
_cell_length_b 4.450
_cell_length_c 9.370
_cell_angle_alpha 90.00
_cell_angle_beta 90.00
_cell_angle_gamma 90.00
_symmetry_space_group_name_H-M 'I -4 m 2'
_symmetry_Int_Tables_number 119
_symmetry_space_group_name_Hall 'I -4 -2'
loop_
_atom_site_label
_atom_site_type_symbol
_atom_site_fract_x
_atom_site_fract_y
_atom_site_fract_z
Y1 Y 0.000 0.000 0.000
Mn1 Mn 0.000 0.500 0.250
In1 In 0.000 0.000 0.500
In2 In 0.000 0.500 0.750
# **Raw total energy**: -42.5 eV/cell
# **Magnetic moment**: 7.02 μB/cell
# **E_form**: -40.1 meV per atom
# **Volume**: 23.2 Å³ per atom

# YMnIn2 PBE relaxed
data_YMnIn2
_cell_length_a 7.152
_cell_length_b 7.152
_cell_length_c 7.152
_cell_angle_alpha 90.00
_cell_angle_beta 90.00
_cell_angle_gamma 90.00
_symmetry_space_group_name_H-M 'F -4 3 m'
_symmetry_Int_Tables_number 216
_symmetry_space_group_name_Hall 'F -4 2 3'
loop_
_atom_site_label
_atom_site_type_symbol
_atom_site_fract_x
_atom_site_fract_y
_atom_site_fract_z
Y1 Y 0.000 0.000 0.000
Mn1 Mn 0.250 0.250 0.750
In1 In 0.000 0.000 0.500
In2 In 0.250 0.250 0.250
# **Raw total energy**: -83.2 eV/cell
# **Magnetic moment**: 14.31 μB/cell
# **E_form**: 77.6 meV per atom
# **Volume**: 22.9 Å³ per atom

# Y6Mn2In PBE relaxed
data_Y6Mn2In
_cell_length_a 9.610
_cell_length_b 9.724
_cell_length_c 10.053
_cell_angle_alpha 90.00
_cell_angle_beta 90.00
_cell_angle_gamma 90.00
_symmetry_space_group_name_H-M 'I m m m'
_symmetry_Int_Tables_number 71
_symmetry_space_group_name_Hall '-I 2 2'
loop_
_atom_site_label
_atom_site_type_symbol
_atom_site_fract_x
_atom_site_fract_y
_atom_site_fract_z
Y1 Y 0.000 0.216 0.231
Y2 Y 0.207 0.500 0.188
Y3 Y 0.214 0.309 0.500
Mn1 Mn 0.000 0.388 0.000
Mn2 Mn 0.000 0.500 0.396
In1 In 0.000 0.000 0.000
In2 In 0.000 0.000 0.500
# **Raw total energy**: -242.6 eV/cell
# **Magnetic moment**: 9.61 μB/cell
# **E_form**: -87.9 meV per atom
# **Volume**: 26.1 Å³ per atom

# YMn2In PBE relaxed
data_YMn2In
_cell_length_a 4.453
_cell_length_b 4.453
_cell_length_c 4.003
_cell_angle_alpha 90.00
_cell_angle_beta 90.00
_cell_angle_gamma 90.00
_symmetry_space_group_name_H-M 'P 4/m m m'
_symmetry_Int_Tables_number 123
_symmetry_space_group_name_Hall '-P 4 2'
loop_
_atom_site_label
_atom_site_type_symbol
_atom_site_fract_x
_atom_site_fract_y
_atom_site_fract_z
Y1 Y 0.000 0.000 0.000
Mn1 Mn 0.000 0.500 0.500
In1 In 0.500 0.500 0.000
# **Raw total energy**: -26.9 eV/cell
# **Magnetic moment**: 6.33 μB/cell
# **E_form**: 164.5 meV per atom
# **Volume**: 19.8 Å³ per atom

# YMnIn3 PBE relaxed
data_YMnIn3
_cell_length_a 4.964
_cell_length_b 4.964
_cell_length_c 4.964
_cell_angle_alpha 90.00
_cell_angle_beta 90.00
_cell_angle_gamma 90.00
_symmetry_space_group_name_H-M 'P m -3 m'
_symmetry_Int_Tables_number 221
_symmetry_space_group_name_Hall '-P 4 2 3'
loop_
_atom_site_label
_atom_site_type_symbol
_atom_site_fract_x
_atom_site_fract_y
_atom_site_fract_z
Y1 Y 0.000 0.000 0.000
Mn1 Mn 0.500 0.500 0.500
In1 In 0.000 0.500 0.500
# **Raw total energy**: -23.2 eV/cell
# **Magnetic moment**: 0.00 μB/cell
# **E_form**: 133.8 meV per atom
# **Volume**: 24.5 Å³ per atom

# YMn2In PBE relaxed
data_YMn2In
_cell_length_a 7.732
_cell_length_b 7.732
_cell_length_c 5.988
_cell_angle_alpha 90.00
_cell_angle_beta 90.00
_cell_angle_gamma 90.00
_symmetry_space_group_name_H-M 'I -4 2 d'
_symmetry_Int_Tables_number 122
_symmetry_space_group_name_Hall 'I -4 2bw'
loop_
_atom_site_label
_atom_site_type_symbol
_atom_site_fract_x
_atom_site_fract_y
_atom_site_fract_z
Y1 Y 0.000 0.000 0.000
Mn1 Mn 0.226 0.250 0.625
In1 In 0.000 0.000 0.500
# **Raw total energy**: -102.0 eV/cell
# **Magnetic moment**: 26.58 μB/cell
# **E_form**: 512.3 meV per atom
# **Volume**: 22.4 Å³ per atom

# Y2MnIn2 PBE relaxed
data_Y2MnIn2
_cell_length_a 7.318
_cell_length_b 7.318
_cell_length_c 4.576
_cell_angle_alpha 90.00
_cell_angle_beta 90.00
_cell_angle_gamma 90.00
_symmetry_space_group_name_H-M 'P 4/m b m'
_symmetry_Int_Tables_number 127
_symmetry_space_group_name_Hall '-P 4 2ab'
loop_
_atom_site_label
_atom_site_type_symbol
_atom_site_fract_x
_atom_site_fract_y
_atom_site_fract_z
Y1 Y 0.171 0.329 0.000
Mn1 Mn 0.000 0.000 0.500
In1 In 0.141 0.641 0.500
# **Raw total energy**: -54.3 eV/cell
# **Magnetic moment**: 0.65 μB/cell
# **E_form**: 81.3 meV per atom
# **Volume**: 24.5 Å³ per atom